Record 1
# SrAc4Pm2, optimized geometry, DFT PBE-GGA
data_SrAc4Pm2
_chemical_formula_sum 'Sr1 Ac4 Pm2'
_symmetry_space_group_name_H-M 'P 1'
_symmetry_Int_Tables_number 1
_cell_length_a 22.4962
_cell_length_b 22.4962
_cell_length_c 22.4962
_cell_angle_alpha 10.01
_cell_angle_beta 10.01
_cell_angle_gamma 10.01
loop_
_symmetry_equiv_pos_as_xyz
'x,y,z'
loop_
_atom_site_label
_atom_site_fract_x
_atom_site_fract_y
_atom_site_fract_z
Sr1 0.0000 0.0000 0.0000
Ac1 0.1422 0.1422 0.1422
Ac2 0.2816 0.2816 0.2816
Ac3 0.7184 0.7184 0.7184
Ac4 0.8578 0.8578 0.8578
Pm1 0.4297 0.4297 0.4297
Pm2 0.5703 0.5703 0.5703
# - formation energy (eV per atom) = 0.042
# - crystal system = trigonal
# - final energy (eV/atom) = -3.90


Record 2
# KBiBSb2, optimized geometry, DFT PBE-GGA
data_KBiBSb2
_chemical_formula_sum 'K1 Bi1 B1 Sb2'
_symmetry_space_group_name_H-M 'P 1'
_symmetry_Int_Tables_number 1
_cell_length_a 6.0532
_cell_length_b 6.0532
_cell_length_c 4.9240
_cell_angle_alpha 90.00
_cell_angle_beta 90.00
_cell_angle_gamma 90.00
loop_
_symmetry_equiv_pos_as_xyz
'x,y,z'
loop_
_atom_site_label
_atom_site_fract_x
_atom_site_fract_y
_atom_site_fract_z
K1 0.0000 0.0000 0.0000
Bi1 0.5000 0.5000 0.5000
B1 0.5000 0.5000 0.0000
Sb1 0.0000 0.5000 0.5000
Sb2 0.5000 0.0000 0.5000
# - crystal system = tetragonal
# - final energy (eV/atom) = -3.02
# - energy relative to the elements, uncorrected (eV/atom) = 0.962


> Which value of final energy does entry 2 give?

-3.02 eV/atom